5
Lattice="6.4019 0.0000 0.0000 0.0000 6.4019 0.0000 0.0000 0.0000 5.2891" Properties=species:S:1:pos:R:3 comment="CsK2InPt (PBE-GGA, relaxed)" delta_e_f_ev_per_atom=-0.1088 space_group=P4/mmm rho_g_cm3=3.99 total_energy_ev_per_atom=-2.47 pbc="T T T"
Cs 3.2009 3.2009 2.6445
K 0.0000 3.2009 0.0000
K 3.2009 0.0000 0.0000
Pt 0.0000 0.0000 0.0000
In 0.0000 0.0000 2.6445



5
Lattice="-3.6190 -6.6203 0.9925 3.1043 -2.6593 -6.4189 5.6094 -2.5042 3.7503" Properties=species:S:1:pos:R:3 comment="Cs2KRbIn (PBE-GGA, relaxed)" e_above_lowest_polymorph_mev_per_atom=0.0 delta_e_f_ev_per_atom=0.0866 space_group=P4/mmm rho_g_cm3=2.01 total_energy_ev_per_atom=-1.22 pbc="T T T"
Cs 1.5521 -1.3296 -3.2094
Cs -1.8095 -3.3101 0.4962
K 2.8047 -1.2521 1.8751
Rb 2.5473 -5.8919 -0.8381
In 0.0000 0.0000 0.0000



5
Lattice="-2.6808 -6.5603 -2.0547 5.0519 -0.3842 -5.3644 4.7141 -3.3929 4.6824" Properties=species:S:1:pos:R:3 comment="CsKRb2In (PBE-GGA, relaxed)" e_above_lowest_polymorph_mev_per_atom=47.2 delta_e_f_ev_per_atom=0.1071 space_group=P4/mmm rho_g_cm3=1.87 total_energy_ev_per_atom=-1.22 pbc="T T T"
Cs 2.3570 -1.6965 2.3412
K 3.5426 -5.1687 -1.3684
Rb 2.5259 -0.1921 -2.6822
Rb -1.3404 -3.2801 -1.0274
In 0.0000 0.0000 0.0000



5
Lattice="-1.4899 6.3930 -3.7934 -7.3467 -1.8565 -0.2433 -1.1099 3.5508 6.4202" Properties=species:S:1:pos:R:3 comment="Cs2KRbIn (PBE-GGA, relaxed)" e_above_lowest_polymorph_mev_per_atom=19.2 delta_e_f_ev_per_atom=0.1059 space_group=P4/mmm rho_g_cm3=1.97 total_energy_ev_per_atom=-1.20 pbc="T T T"
Cs -3.6734 -0.9283 -0.1216
Cs -0.7449 3.1965 -1.8967
K -4.9732 4.0437 1.1918
Rb -0.5549 1.7754 3.2101
In 0.0000 0.0000 0.0000



5
Lattice="-4.6688 5.6702 -0.5081 -4.3289 -3.1092 5.0794 3.5806 3.4087 5.1381" Properties=species:S:1:pos:R:3 comment="CsKRb2In (PBE-GGA, relaxed)" e_above_lowest_polymorph_mev_per_atom=0.0 delta_e_f_ev_per_atom=0.0599 space_group=P4/mmm rho_g_cm3=1.97 total_energy_ev_per_atom=-1.27 pbc="T T T"
Cs -2.7085 2.9849 4.8547
K 1.7903 1.7044 2.5691
Rb -2.1645 -1.5546 2.5397
Rb -2.3344 2.8351 -0.2541
In 0.0000 0.0000 0.0000



12
Lattice="-0.7334 5.2093 0.2234 -8.3695 -1.3269 3.4639 3.7297 0.1365 9.0639" Properties=species:S:1:pos:R:3 comment="CsK2InSb2 (PBE-GGA, relaxed)" raw_formation_energy_ev_per_atom=-0.353 space_group=Pmc2_1 rho_g_cm3=4.00 total_energy_ev_per_atom=-2.69 pbc="T T T"
Cs 1.4654 0.0406 3.8647
Cs -2.1339 -0.6014 7.0195
K -0.1552 2.6018 0.8729
K -2.2485 -0.4349 2.7591
K -1.2072 2.0530 10.2183
K -3.9894 -1.0089 10.4301
In 0.8687 2.4972 6.6730
In -4.5600 1.7883 5.3820
Sb 1.3189 -0.1705 8.3080
Sb -1.5343 2.2424 4.7274
Sb -5.3624 -0.9253 3.9730
Sb -4.8954 1.6091 8.4610



6
Lattice="-5.0991 -0.8620 0.4239 2.6090 -1.8305 -4.0945 1.9956 -9.1644 5.3687" Properties=species:S:1:pos:R:3 comment="CsKIn2Sb2 (PBE-GGA, relaxed)" raw_formation_energy_ev_per_atom=-0.224 space_group=P-3m1 rho_g_cm3=4.25 total_energy_ev_per_atom=-2.84 pbc="T T T"
Cs 0.0000 0.0000 0.0000
K 0.9978 -4.5822 2.6844
In -1.9868 -3.6778 0.3782
In 1.4924 -8.1791 1.3199
Sb -1.0766 -7.8580 2.8271
Sb 0.5821 -3.9990 -1.1289



7
Lattice="5.0926 0.0000 0.0000 2.5463 9.2520 -2.2375 2.5463 0.0645 7.0196" Properties=species:S:1:pos:R:3 comment="Cs2K2InSb2 (PBE-GGA, relaxed)" raw_formation_energy_ev_per_atom=-0.225 space_group=C2/m rho_g_cm3=3.52 total_energy_ev_per_atom=-2.35 pbc="T T T"
Cs 2.5463 1.6686 3.0206
Cs 7.6389 7.6479 1.7615
K 5.0926 5.4623 4.6973
K 5.0926 3.8542 0.0849
In 0.0000 0.0000 0.0000
Sb 5.0926 1.7732 6.0286
Sb 5.0926 7.5433 -1.2465



12
Lattice="-1.2142 -4.9047 6.4422 7.5403 -1.4826 0.2924 -2.0636 9.8210 1.8856" Properties=species:S:1:pos:R:3 comment="Cs2KInSb2 (PBE-GGA, relaxed)" raw_formation_energy_ev_per_atom=-0.467 space_group=Ibam rho_g_cm3=4.10 total_energy_ev_per_atom=-2.76 pbc="T T T"
Cs 0.0595 0.9928 3.4994
Cs 4.2030 2.4409 5.1207
Cs 1.0093 5.5110 1.9158
Cs 3.2532 -2.0773 6.7044
K 5.6552 -1.1120 0.2193
K 1.8851 -0.3707 0.0731
In 5.0481 -3.5643 3.4404
In 1.2780 -2.8230 3.2942
Sb -0.6395 -2.1734 5.4717
Sb 3.6077 -0.9874 3.0865
Sb 0.6547 4.4211 5.5337
Sb 4.9020 5.6070 3.1485



9
Lattice="6.0030 0.5616 0.3821 2.1006 9.2852 0.8810 2.1006 4.2288 8.3132" Properties=species:S:1:pos:R:3 comment="Cs2K4InSb2 (PBE-GGA, relaxed)" raw_formation_energy_ev_per_atom=-0.227 space_group=C2/m rho_g_cm3=3.03 total_energy_ev_per_atom=-2.12 pbc="T T T"
Cs 4.8474 8.8382 6.0130
Cs 5.3567 5.2375 3.5633
K 2.3511 6.4628 1.2186
K 7.8530 10.5691 4.0124
K 7.8530 7.6128 8.3576
K 2.3511 3.5065 5.5639
In 3.0015 0.2808 0.1910
Sb 2.6484 2.8106 1.9122
Sb 7.5557 11.2650 7.6641



5
Lattice="7.5554 0.0000 0.0000 0.0000 5.0243 0.0000 0.0000 0.0000 7.5554" Properties=species:S:1:pos:R:3 comment="Cs2KInSi (PBE-GGA, relaxed)" raw_formation_energy_ev_per_atom=0.224 space_group=P4/mmm rho_g_cm3=2.59 total_energy_ev_per_atom=-1.97 pbc="T T T"
Cs 0.0000 0.0000 3.7777
Cs 3.7777 0.0000 0.0000
K 3.7777 2.5121 3.7777
Si 0.0000 0.0000 0.0000
In 0.0000 2.5121 0.0000



5
Lattice="-2.6932 -6.5852 -0.6422 2.2633 -0.2653 -6.7703 5.6972 -2.5254 2.0036" Properties=species:S:1:pos:R:3 comment="CsK2SrIn (PBE-GGA, relaxed)" delta_e_f_ev_per_atom=0.0382 space_group=P4/mmm rho_g_cm3=2.06 total_energy_ev_per_atom=-1.46 pbc="T T T"
Cs 2.6337 -4.6880 -2.7045
Sr 2.8486 -1.2627 1.0018
K 1.1317 -0.1327 -3.3851
K -1.3466 -3.2926 -0.3211
In 0.0000 0.0000 0.0000



What is the formula in the sixth record?
CsK2InSb2